No. 1
Density functional theory data (PBE) for crystalline RbCd2Hg4Pb at its relaxed geometry.

```
data_RbCd2Hg4Pb
_chemical_formula_sum 'Rb3 Cd6 Hg12 Pb3'
_cell_length_a 4.9337
_cell_length_b 4.9337
_cell_length_c 34.9325
_cell_angle_alpha 90.00
_cell_angle_beta 90.00
_cell_angle_gamma 120.00
_space_group_name_H-M_alt 'R -3 m'
_space_group_IT_number 166
_space_group_name_Hall '-R 3 2"'
loop_
_atom_site_label
_atom_site_type_symbol
_atom_site_fract_x
_atom_site_fract_y
_atom_site_fract_z
Rb1 Rb 0.0000 0.0000 0.0000
Cd1 Cd 0.0000 0.0000 0.2414
Hg1 Hg 0.0000 0.0000 0.1238
Hg2 Hg 0.0000 0.0000 0.3983
Pb1 Pb 0.0000 0.0000 0.5000
```

Values from the calculation:
calculated volume	736.4	Å³ per cell
D(E_F)	0.18	states/eV per atom
raw total energy	-1.05	eV per atom
crystal system	trigonal

***

No. 2
Density functional theory data (PBE) for crystalline RbCd2Hg8Pb at its relaxed geometry.

```
data_RbCd2Hg8Pb
_chemical_formula_sum 'Rb2 Cd4 Hg16 Pb2'
_cell_length_a 10.4653
_cell_length_b 7.1248
_cell_length_c 10.6581
_cell_angle_alpha 90.00
_cell_angle_beta 116.17
_cell_angle_gamma 90.00
_space_group_name_H-M_alt 'C 1 2/m 1'
_space_group_IT_number 12
loop_
_space_group_symop_operation_xyz
'x,y,z'
'-x,-y,-z'
'-x,y,-z'
'x,-y,z'
'x+1/2,y+1/2,z'
'-x+1/2,-y+1/2,-z'
'-x+1/2,y+1/2,-z'
'x+1/2,-y+1/2,z'
loop_
_atom_site_label
_atom_site_type_symbol
_atom_site_fract_x
_atom_site_fract_y
_atom_site_fract_z
Rb1 Rb 0.0000 0.0000 0.0000
Cd1 Cd 0.1313 0.5000 0.2852
Hg1 Hg 0.1438 0.0000 0.4099
Hg2 Hg 0.1436 0.2307 0.7521
Hg3 Hg 0.1451 0.5000 0.9887
Pb1 Pb 0.0000 0.5000 0.5000
```

Values from the calculation:
calculated volume	713.3	Å³ per cell
D(E_F)	0.32	states/eV per atom
raw total energy	-0.79	eV per atom
crystal system	monoclinic

***

No. 3
Density functional theory data (PBE) for crystalline RbCdHg2Pb at its relaxed geometry.

```
data_RbCdHg2Pb
_chemical_formula_sum 'Rb1 Cd1 Hg2 Pb1'
_cell_length_a 6.1698
_cell_length_b 6.1698
_cell_length_c 5.6698
_cell_angle_alpha 90.00
_cell_angle_beta 90.00
_cell_angle_gamma 90.00
_space_group_name_H-M_alt 'P 4/m m m'
_space_group_IT_number 123
_space_group_name_Hall '-P 4 2'
loop_
_atom_site_label
_atom_site_type_symbol
_atom_site_fract_x
_atom_site_fract_y
_atom_site_fract_z
Rb1 Rb 0.0000 0.0000 0.0000
Cd1 Cd 0.5000 0.5000 0.0000
Hg1 Hg 0.0000 0.5000 0.5000
Pb1 Pb 0.5000 0.5000 0.5000
```

Values from the calculation:
calculated volume	215.8	Å³ per cell
D(E_F)	0.60	states/eV per atom
offset from the most stable computed form	0	meV per atom
raw total energy	-1.20	eV per atom
crystal system	tetragonal

***

No. 4
Density functional theory data (PBE) for crystalline RbCdHg2Pb at its relaxed geometry.

```
data_RbCdHg2Pb
_chemical_formula_sum 'Rb1 Cd1 Hg2 Pb1'
_cell_length_a 5.7461
_cell_length_b 5.7461
_cell_length_c 5.7710
_cell_angle_alpha 90.00
_cell_angle_beta 90.00
_cell_angle_gamma 90.00
_space_group_name_H-M_alt 'P 4/m m m'
_space_group_IT_number 123
_space_group_name_Hall '-P 4 2'
loop_
_atom_site_label
_atom_site_type_symbol
_atom_site_fract_x
_atom_site_fract_y
_atom_site_fract_z
Rb1 Rb 0.0000 0.0000 0.0000
Cd1 Cd 0.5000 0.5000 0.5000
Hg1 Hg 0.0000 0.5000 0.5000
Pb1 Pb 0.5000 0.5000 0.0000
```

Values from the calculation:
calculated volume	190.5	Å³ per cell
D(E_F)	0.80	states/eV per atom
offset from the most stable computed form	10	meV per atom
raw total energy	-1.19	eV per atom
crystal system	tetragonal

***

No. 5
Density functional theory data (PBE) for crystalline Rb2Cd3Hg12Pb at its relaxed geometry.

```
data_Rb2Cd3Hg12Pb
_chemical_formula_sum 'Rb6 Cd9 Hg36 Pb3'
_cell_length_a 7.1423
_cell_length_b 7.1423
_cell_length_c 38.3193
_cell_angle_alpha 90.00
_cell_angle_beta 90.00
_cell_angle_gamma 120.00
_space_group_name_H-M_alt 'R -3 m'
_space_group_IT_number 166
_space_group_name_Hall '-R 3 2"'
loop_
_atom_site_label
_atom_site_type_symbol
_atom_site_fract_x
_atom_site_fract_y
_atom_site_fract_z
Rb1 Rb 0.0000 0.0000 0.1403
Cd1 Cd 0.0000 0.5000 0.0000
Hg1 Hg 0.0161 0.5081 0.8937
Hg2 Hg 0.0486 0.5243 0.6163
Pb1 Pb 0.0000 0.0000 0.5000
```

Values from the calculation:
calculated volume	1692.9	Å³ per cell
D(E_F)	0.42	states/eV per atom
raw total energy	-0.73	eV per atom
crystal system	trigonal

***

No. 6
Density functional theory data (PBE) for crystalline Rb2CdHg3Pb4 at its relaxed geometry.

```
data_Rb2CdHg3Pb4
_chemical_formula_sum 'Rb2 Cd1 Hg3 Pb4'
_cell_length_a 5.1820
_cell_length_b 5.1820
_cell_length_c 12.7288
_cell_angle_alpha 90.00
_cell_angle_beta 90.00
_cell_angle_gamma 90.00
_space_group_name_H-M_alt 'P -4 m 2'
_space_group_IT_number 115
loop_
_space_group_symop_operation_xyz
'x,y,z'
'y,-x,-z'
'-x,-y,z'
'-y,x,-z'
'-x,y,z'
'-y,-x,-z'
'x,-y,z'
'y,x,-z'
loop_
_atom_site_label
_atom_site_type_symbol
_atom_site_fract_x
_atom_site_fract_y
_atom_site_fract_z
Rb1 Rb 0.0000 0.5000 0.2448
Cd1 Cd 0.5000 0.5000 0.0000
Hg1 Hg 0.0000 0.0000 0.0000
Hg2 Hg 0.0000 0.5000 0.6395
Pb1 Pb 0.0000 0.0000 0.5000
Pb2 Pb 0.0000 0.5000 0.8724
Pb3 Pb 0.5000 0.5000 0.5000
```

Values from the calculation:
calculated volume	341.8	Å³ per cell
D(E_F)	0.48	states/eV per atom
raw total energy	-1.97	eV per atom
crystal system	tetragonal

***

No. 7
Density functional theory data (PBE) for crystalline RbCdHgPb at its relaxed geometry.

```
data_RbCdHgPb
_chemical_formula_sum 'Rb4 Cd4 Hg4 Pb4'
_cell_length_a 7.9973
_cell_length_b 7.9973
_cell_length_c 7.9973
_cell_angle_alpha 90.00
_cell_angle_beta 90.00
_cell_angle_gamma 90.00
_space_group_name_H-M_alt 'F -4 3 m'
_space_group_IT_number 216
_space_group_name_Hall 'F -4 2 3'
loop_
_atom_site_label
_atom_site_type_symbol
_atom_site_fract_x
_atom_site_fract_y
_atom_site_fract_z
Rb1 Rb 0.0000 0.0000 0.0000
Cd1 Cd 0.2500 0.2500 0.2500
Hg1 Hg 0.2500 0.2500 0.7500
Pb1 Pb 0.0000 0.0000 0.5000
```

Values from the calculation:
calculated volume	511.5	Å³ per cell
D(E_F)	0.86	states/eV per atom
raw total energy	-1.50	eV per atom
crystal system	cubic

***

No. 8
Density functional theory data (PBE) for crystalline Rb2Cd4HgPb3 at its relaxed geometry.

```
data_Rb2Cd4HgPb3
_chemical_formula_sum 'Rb2 Cd4 Hg1 Pb3'
_cell_length_a 5.2091
_cell_length_b 5.2091
_cell_length_c 12.3072
_cell_angle_alpha 90.00
_cell_angle_beta 90.00
_cell_angle_gamma 90.00
_space_group_name_H-M_alt 'P -4 m 2'
_space_group_IT_number 115
loop_
_space_group_symop_operation_xyz
'x,y,z'
'y,-x,-z'
'-x,-y,z'
'-y,x,-z'
'-x,y,z'
'-y,-x,-z'
'x,-y,z'
'y,x,-z'
loop_
_atom_site_label
_atom_site_type_symbol
_atom_site_fract_x
_atom_site_fract_y
_atom_site_fract_z
Rb1 Rb 0.0000 0.5000 0.2503
Cd1 Cd 0.0000 0.0000 0.0000
Cd2 Cd 0.0000 0.5000 0.6269
Cd3 Cd 0.5000 0.5000 0.0000
Hg1 Hg 0.0000 0.0000 0.5000
Pb1 Pb 0.0000 0.5000 0.8685
Pb2 Pb 0.5000 0.5000 0.5000
```

Values from the calculation:
calculated volume	333.9	Å³ per cell
D(E_F)	0.39	states/eV per atom
raw total energy	-1.79	eV per atom
crystal system	tetragonal

***

No. 9
Density functional theory data (PBE) for crystalline Rb2Cd3HgPb4 at its relaxed geometry.

```
data_Rb2Cd3HgPb4
_chemical_formula_sum 'Rb2 Cd3 Hg1 Pb4'
_cell_length_a 5.1514
_cell_length_b 5.1514
_cell_length_c 12.7689
_cell_angle_alpha 90.00
_cell_angle_beta 90.00
_cell_angle_gamma 90.00
_space_group_name_H-M_alt 'P -4 m 2'
_space_group_IT_number 115
loop_
_space_group_symop_operation_xyz
'x,y,z'
'y,-x,-z'
'-x,-y,z'
'-y,x,-z'
'-x,y,z'
'-y,-x,-z'
'x,-y,z'
'y,x,-z'
loop_
_atom_site_label
_atom_site_type_symbol
_atom_site_fract_x
_atom_site_fract_y
_atom_site_fract_z
Rb1 Rb 0.0000 0.5000 0.2442
Cd1 Cd 0.0000 0.0000 0.0000
Cd2 Cd 0.0000 0.5000 0.6372
Hg1 Hg 0.5000 0.5000 0.0000
Pb1 Pb 0.0000 0.0000 0.5000
Pb2 Pb 0.0000 0.5000 0.8701
Pb3 Pb 0.5000 0.5000 0.5000
```

Values from the calculation:
calculated volume	338.8	Å³ per cell
D(E_F)	0.49	states/eV per atom
raw total energy	-2.07	eV per atom
crystal system	tetragonal

***

No. 10
Density functional theory data (PBE) for crystalline CdHgRuPb2 at its relaxed geometry.

```
data_CdHgRuPb2
_chemical_formula_sum 'Cd1 Hg1 Ru1 Pb2'
_cell_length_a 5.2349
_cell_length_b 5.2349
_cell_length_c 5.3642
_cell_angle_alpha 90.00
_cell_angle_beta 90.00
_cell_angle_gamma 90.00
_space_group_name_H-M_alt 'P 4/m m m'
_space_group_IT_number 123
_space_group_name_Hall '-P 4 2'
loop_
_atom_site_label
_atom_site_type_symbol
_atom_site_fract_x
_atom_site_fract_y
_atom_site_fract_z
Cd1 Cd 0.0000 0.0000 0.0000
Hg1 Hg 0.5000 0.5000 0.0000
Ru1 Ru 0.0000 0.0000 0.5000
Pb1 Pb 0.0000 0.5000 0.5000
```

Values from the calculation:
calculated volume	147.0	Å³ per cell
D(E_F)	0.43	states/eV per atom
raw total energy	-3.40	eV per atom
crystal system	tetragonal

***

No. 11
Density functional theory data (PBE) for crystalline CdHg2PbS at its relaxed geometry.

```
data_CdHg2PbS
_chemical_formula_sum 'Cd1 Hg2 Pb1 S1'
_cell_length_a 5.1397
_cell_length_b 5.1397
_cell_length_c 5.8425
_cell_angle_alpha 90.00
_cell_angle_beta 90.00
_cell_angle_gamma 90.00
_space_group_name_H-M_alt 'P 4/m m m'
_space_group_IT_number 123
_space_group_name_Hall '-P 4 2'
loop_
_atom_site_label
_atom_site_type_symbol
_atom_site_fract_x
_atom_site_fract_y
_atom_site_fract_z
Cd1 Cd 0.0000 0.0000 0.0000
Hg1 Hg 0.0000 0.5000 0.5000
Pb1 Pb 0.5000 0.5000 0.0000
S1 S 0.5000 0.5000 0.5000
```

Values from the calculation:
calculated volume	154.3	Å³ per cell
D(E_F)	0.44	states/eV per atom
raw total energy	-1.62	eV per atom
energy relative to the elements, uncorrected	0.25	eV per atom
crystal system	tetragonal

***

No. 12
Density functional theory data (PBE) for crystalline SmCdHgPb at its relaxed geometry.

```
data_SmCdHgPb
_chemical_formula_sum 'Sm1 Cd1 Hg1 Pb1'
_cell_length_a 4.5063
_cell_length_b 4.6905
_cell_length_c 4.9280
_cell_angle_alpha 90.00
_cell_angle_beta 90.00
_cell_angle_gamma 90.00
_space_group_name_H-M_alt 'P m m m'
_space_group_IT_number 47
loop_
_space_group_symop_operation_xyz
'x,y,z'
'-x,-y,-z'
'-x,-y,z'
'x,y,-z'
'x,-y,-z'
'-x,y,z'
'-x,y,-z'
'x,-y,z'
loop_
_atom_site_label
_atom_site_type_symbol
_atom_site_fract_x
_atom_site_fract_y
_atom_site_fract_z
Sm1 Sm 0.0000 0.0000 0.0000
Cd1 Cd 0.0000 0.5000 0.5000
Hg1 Hg 0.5000 0.0000 0.5000
Pb1 Pb 0.5000 0.5000 0.0000
```

Values from the calculation:
calculated volume	104.2	Å³ per cell
D(E_F)	0.43	states/eV per atom
offset from the most stable computed form	0	meV per atom
raw total energy	-2.79	eV per atom
crystal system	orthorhombic